## Ce2MgNi (PBE)

Data for a relaxed Ce2MgNi crystal.

DFT formation energy = 170 meV per atom
E above lowest polymorph = 6.431 kcal/mol of atoms

abc: 3.1720 3.1720 32.6164
angles: 90.00 90.00 120.00
Space group R-3m (No. 166, hexagonal axes)
Inequivalent atoms, fractional coordinates:
Ce 0.0000 0.0000 0.1025
Mg 0.0000 0.0000 0.0000
Ni 0.0000 0.0000 0.5000

## CeMgNi3 (PBE)

Data for a relaxed CeMgNi3 crystal.

DFT formation energy = -190 meV per atom

abc: 4.769 8.942 7.754
angles: 90.00 90.00 90.00
Space group Imma (No. 74)
Inequivalent atoms, fractional coordinates:
Ce 0.000 0.250 0.066
Mg 0.000 0.000 0.500
Ni 0.000 0.011 0.826
Ni 0.250 0.250 0.750

## Ce2MgNi2 (PBE)

Data for a relaxed Ce2MgNi2 crystal.

DFT formation energy = -314 meV per atom

abc: 7.549 7.549 3.604
angles: 90.00 90.00 90.00
Space group P4/mbm (No. 127)
Inequivalent atoms, fractional coordinates:
Ce 0.168 0.332 0.000
Mg 0.000 0.000 0.500
Ni 0.129 0.629 0.500

## CeMg2Ni6 (PBE)

Data for a relaxed CeMg2Ni6 crystal.

DFT formation energy = 61 meV per atom

abc: 8.201 8.201 8.201
angles: 90.00 90.00 90.00
Space group Fm-3m (No. 225)
Inequivalent atoms, fractional coordinates:
Ce 0.000 0.000 0.000
Mg 0.250 0.250 0.250
Ni 0.000 0.000 0.292

## CeMgNi2 (PBE)

Data for a relaxed CeMgNi2 crystal.

DFT formation energy = -225 meV per atom

abc: 3.872 12.416 5.987
angles: 90.00 90.00 90.00
Space group Cmcm (No. 63)
Inequivalent atoms, fractional coordinates:
Ce 0.000 0.228 0.250
Mg 0.000 0.039 0.750
Ni 0.000 0.405 0.545

## CeMgNi2P2 (PBE)

Data for a relaxed CeMgNi2P2 crystal.

DFT formation energy = -909 meV per atom

abc: 3.9333 3.9333 7.0312
angles: 90.00 90.00 120.00
Space group P-3m1 (No. 164)
Inequivalent atoms, fractional coordinates:
Ce 0.0000 0.0000 0.0000
Mg 0.0000 0.0000 0.5000
Ni 0.3333 0.6667 0.7075
P 0.3333 0.6667 0.2624

## CeMgNiPt (PBE)

Data for a relaxed CeMgNiPt crystal.

DFT formation energy = -582 meV per atom

abc: 6.710 6.710 6.710
angles: 90.00 90.00 90.00
Space group F-43m (No. 216)
Inequivalent atoms, fractional coordinates:
Ce 0.000 0.000 0.000
Mg 0.000 0.000 0.500
Ni 0.250 0.250 0.250
Pt 0.250 0.250 0.750

## CePuMgNi (PBE)

Data for a relaxed CePuMgNi crystal.

DFT formation energy = 21 meV per atom

abc: 6.878 6.878 6.878
angles: 90.00 90.00 90.00
Space group F-43m (No. 216)
Inequivalent atoms, fractional coordinates:
Ce 0.000 0.000 0.000
Pu 0.250 0.250 0.250
Mg 0.000 0.000 0.500
Ni 0.250 0.250 0.750

## Ce2MgNi4Sb3 (PBE)

Data for a relaxed Ce2MgNi4Sb3 crystal.

E_form (uncorrected) = -602 meV/atom

abc: 4.321 4.321 10.382
angles: 90.00 90.00 90.00
Space group P-4m2 (No. 115)
Inequivalent atoms, fractional coordinates:
Ce 0.000 0.500 0.237
Mg 0.000 0.000 0.500
Ni 0.000 0.000 0.000
Ni 0.000 0.500 0.634
Ni 0.500 0.500 0.000
Sb 0.000 0.500 0.871
Sb 0.500 0.500 0.500

## Ce2MgNi4Sn3 (PBE)

Data for a relaxed Ce2MgNi4Sn3 crystal.

DFT formation energy = -442 meV per atom

abc: 4.401 4.401 10.207
angles: 90.00 90.00 90.00
Space group P-4m2 (No. 115)
Inequivalent atoms, fractional coordinates:
Ce 0.000 0.500 0.236
Mg 0.000 0.000 0.500
Ni 0.000 0.000 0.000
Ni 0.000 0.500 0.631
Ni 0.500 0.500 0.000
Sn 0.000 0.500 0.874
Sn 0.500 0.500 0.500

## CeYMg2Ni8 (PBE)

Data for a relaxed CeYMg2Ni8 crystal.

DFT formation energy = -398 meV per atom

abc: 4.9615 4.9615 24.3329
angles: 90.00 90.00 120.00
Space group R3m (No. 160, hexagonal axes)
Inequivalent atoms, fractional coordinates:
Ce 0.0000 0.0000 0.0000
Y 0.0000 0.0000 0.4994
Mg 0.0000 0.0000 0.1264
Mg 0.0000 0.0000 0.6231
Ni 0.0000 0.0000 0.3117
Ni 0.0000 0.0000 0.8119
Ni 0.1680 0.3360 0.8964
Ni 0.1689 0.3377 0.3954

## Ce2MgNp (PBE)

Data for a relaxed Ce2MgNp crystal.

DFT formation energy = 463 meV per atom

abc: 3.6192 3.6192 29.3931
angles: 90.00 90.00 120.00
Space group R-3m (No. 166, hexagonal axes)
Inequivalent atoms, fractional coordinates:
Ce 0.0000 0.0000 0.1136
Mg 0.0000 0.0000 0.0000
Np 0.0000 0.0000 0.5000

Per-record total moment, μB per formula unit: 0.0; 0.0; 0.0; 0.0; 0.4; 0.1; 0.0; 6.2; 1.1; 1.5; 0.0; 0.0